No. 1
A geometry-optimized Cs2NaBiCl6 structure. Source: Alexandria via LeMat-Bulk, functional PBE.

Summary:
SG: Fm-3m, No. 225
total moment: 0.0 Bohr magnetons per cell
uncorrected formation energy: -1.617 eV per atom

Unit cell a=7.8134 b=7.8134 c=7.8134 alpha=60.00 beta=60.00 gamma=60.00
Fractional coordinates of all 10 atoms:
Cl 0.2464 0.7536 0.2464
Cl 0.2464 0.7536 0.7536
Cl 0.2464 0.2464 0.7536
Cl 0.7536 0.7536 0.2464
Cl 0.7536 0.2464 0.7536
Cl 0.7536 0.2464 0.2464
Bi 0.0000 0.0000 0.0000
Cs 0.2500 0.2500 0.2500
Cs 0.7500 0.7500 0.7500
Na 0.5000 0.5000 0.5000



No. 2
A geometry-optimized TiGeAu2 structure. Source: Alexandria via LeMat-Bulk, functional PBE.

Summary:
formation energy: 0.68 eV per formula unit
SG: R-3m, No. 166
total moment: 0.0 Bohr magnetons per cell

Unit cell a=2.8829 b=2.8829 c=10.5162 alpha=82.12 beta=82.12 gamma=60.00
Fractional coordinates of all 4 atoms:
Au 0.9157 0.9157 0.2530
Au 0.0843 0.0843 0.7470
Ge 0.5000 0.5000 0.5000
Ti 0.0000 0.0000 0.0000



No. 3
A geometry-optimized Pm2Y3Ho4 structure. Source: Alexandria via LeMat-Bulk, functional PBE.

Summary:
formation energy: 0.85 eV per formula unit
SG: C2/c, No. 15
total moment: 0.0 Bohr magnetons per cell

Unit cell a=6.1513 b=11.2831 c=11.2831 alpha=61.98 beta=62.01 gamma=62.01
Fractional coordinates of all 18 atoms:
Ho 0.5823 0.4233 0.1455
Ho 0.0775 0.8131 0.0938
Ho 0.9225 0.1869 0.9062
Ho 0.4177 0.5767 0.8545
Ho 0.4225 0.9062 0.1869
Ho 0.9177 0.8545 0.5767
Ho 0.0823 0.1455 0.4233
Ho 0.5775 0.0938 0.8131
Y 0.2367 0.9334 0.7366
Y 0.2633 0.2634 0.0666
Y 0.2500 0.5984 0.4016
Y 0.7367 0.7366 0.9334
Y 0.7633 0.0666 0.2634
Y 0.7500 0.4016 0.5984
Pm 0.9234 0.5222 0.2335
Pm 0.5766 0.7665 0.4778
Pm 0.4234 0.2335 0.5222
Pm 0.0766 0.4778 0.7665



No. 4
A geometry-optimized CaZnPt2 structure. Source: Alexandria via LeMat-Bulk, functional PBE.

Summary:
formation energy: -1.21 eV per formula unit
SG: P4mm, No. 99
total moment: 0.0 Bohr magnetons per cell

Unit cell a=2.9831 b=2.9832 c=8.1005 alpha=90.00 beta=90.00 gamma=90.08
Fractional coordinates of all 4 atoms:
Zn 0.0000 0.0000 0.4608
Pt 0.0000 0.0000 0.0180
Pt 0.5000 0.5000 0.2596
Ca 0.5000 0.5000 0.7616



No. 5
A geometry-optimized TlCrSi2Bi structure. Source: Alexandria via LeMat-Bulk, functional PBE.

Summary:
SG: P4/mmm, No. 123
total moment: 0.1 Bohr magnetons per cell
uncorrected formation energy: 1.690 eV per atom

Unit cell a=5.1243 b=5.0750 c=5.1243 alpha=90.00 beta=90.00 gamma=90.00
Fractional coordinates of all 5 atoms:
Bi 0.5000 0.5000 0.5000
Cr 0.0000 0.5000 0.0000
Si 0.0000 0.0000 0.5000
Si 0.5000 0.0000 0.0000
Tl 0.0000 0.0000 0.0000



No. 6
A geometry-optimized CaSi2Pb structure. Source: Alexandria via LeMat-Bulk, functional PBE.

Summary:
SG: P4/mmm, No. 123
total moment: 0.0 Bohr magnetons per cell
uncorrected formation energy: 0.228 eV per atom

Unit cell a=3.3029 b=3.3029 c=8.5928 alpha=90.00 beta=90.00 gamma=90.00
Fractional coordinates of all 4 atoms:
Pb 0.5000 0.5000 0.7500
Ca 0.5000 0.5000 0.2500
Si 0.0000 0.0000 0.0086
Si 0.0000 0.0000 0.4914



No. 7
A geometry-optimized CaTiP2N6 structure. Source: Alexandria via LeMat-Bulk, functional PBE.

Summary:
SG: C2/c, No. 15
total moment: 0.0 Bohr magnetons per cell
uncorrected formation energy: -0.701 eV per atom

Unit cell a=5.1071 b=6.7586 c=6.7586 alpha=95.56 beta=82.88 gamma=82.88
Fractional coordinates of all 20 atoms:
N 0.7083 0.7232 0.9919
N 0.2083 0.9919 0.7232
N 0.8406 0.3893 0.2701
N 0.3406 0.2701 0.3893
N 0.8505 0.3651 0.7228
N 0.6495 0.2772 0.6349
N 0.2917 0.2768 0.0081
N 0.1495 0.6349 0.2772
N 0.6594 0.7299 0.6107
N 0.3505 0.7228 0.3651
N 0.1594 0.6107 0.7299
N 0.7917 0.0081 0.2768
P 0.3282 0.7703 0.6191
P 0.1718 0.3809 0.2297
P 0.8282 0.6191 0.7703
P 0.6718 0.2297 0.3809
Ca 0.2500 0.9086 0.0914
Ca 0.7500 0.0914 0.9086
Ti 0.2500 0.2761 0.7239
Ti 0.7500 0.7239 0.2761



No. 8
A geometry-optimized Hf2MgNp structure. Source: Alexandria via LeMat-Bulk, functional PBE.

Summary:
polymorph energy (0 for the lowest one): 0 meV per atom
formation energy: 1.03 eV per formula unit
SG: R-3m, No. 166
total moment: 3.2 Bohr magnetons per cell

Unit cell a=3.1493 b=3.1493 c=10.6443 alpha=81.49 beta=81.49 gamma=60.00
Fractional coordinates of all 4 atoms:
Np 0.0000 0.0000 0.0000
Mg 0.5000 0.5000 0.5000
Hf 0.7487 0.7487 0.7538
Hf 0.2513 0.2513 0.2462



No. 9
A geometry-optimized TbCeP2 structure. Source: Alexandria via LeMat-Bulk, functional PBE.

Summary:
polymorph energy (0 for the lowest one): 0 meV per atom
formation energy: -6.24 eV per formula unit
SG: R-3m, No. 166
total moment: 0.5 Bohr magnetons per cell

Unit cell a=4.0587 b=4.0587 c=7.0175 alpha=73.18 beta=73.18 gamma=60.01
Fractional coordinates of all 4 atoms:
Ce 0.5000 0.5000 0.5000
Tb 0.0000 0.0000 0.0000
P 0.7495 0.7495 0.7515
P 0.2505 0.2505 0.2485



No. 10
A geometry-optimized SrTa2Cr structure. Source: Alexandria via LeMat-Bulk, functional PBE.

Summary:
polymorph energy (0 for the lowest one): 232 meV per atom
formation energy: 3.29 eV per formula unit
SG: C2/m, No. 12
total moment: 1.5 Bohr magnetons per cell

Unit cell a=5.6022 b=5.6022 c=5.5872 alpha=71.10 beta=71.10 gamma=32.41
Fractional coordinates of all 4 atoms:
Sr 0.7500 0.7500 0.7500
Ta 0.5513 0.5513 0.4050
Ta 0.9487 0.9487 0.0950
Cr 0.2500 0.2500 0.2500



No. 11
A geometry-optimized Pt2W3 structure. Source: Alexandria via LeMat-Bulk, functional PBE.

Summary:
polymorph energy (0 for the lowest one): 0 meV per atom
formation energy: -0.21 eV per formula unit
SG: Fdd2, No. 43
total moment: 0.0 Bohr magnetons per cell

Unit cell a=8.3828 b=7.2639 c=5.4048 alpha=81.43 beta=58.96 gamma=39.61
Fractional coordinates of all 10 atoms:
W 0.7939 0.5019 0.7966
W 0.3046 0.1954 0.1954
W 0.9077 0.7966 0.5019
W 0.4534 0.3423 0.4561
W 0.0546 0.9454 0.9454
W 0.7481 0.4561 0.3423
Pt 0.5438 0.3646 0.8915
Pt 0.3585 0.0499 0.7062
Pt 0.2001 0.8915 0.3646
Pt 0.8854 0.7062 0.0499



No. 12
A geometry-optimized Ba5H12Pd3 structure. Source: Alexandria via LeMat-Bulk, functional PBE.

Summary:
SG: Ia-3d, No. 230
total energy: -3.561 eV/atom
total moment: 0.0 Bohr magnetons per cell

Unit cell a=12.0714 b=12.0714 c=12.0714 alpha=109.47 beta=109.47 gamma=109.47
Fractional coordinates of all 80 atoms:
Ba 0.2500 0.3750 0.6250
Ba 0.5000 0.5000 0.0000
Ba 0.1250 0.7500 0.3750
Ba 0.7500 0.6250 0.3750
Ba 0.7500 0.1250 0.8750
Ba 0.1250 0.3750 0.2500
Ba 0.8750 0.6250 0.7500
Ba 0.6250 0.7500 0.8750
Ba 0.5000 0.0000 0.0000
Ba 0.0000 0.5000 0.5000
Ba 0.6250 0.8750 0.2500
Ba 0.3750 0.1250 0.7500
Ba 0.2500 0.8750 0.1250
Ba 0.5000 0.5000 0.5000
Ba 0.0000 0.0000 0.0000
Ba 0.3750 0.2500 0.1250
Ba 0.0000 0.0000 0.5000
Ba 0.0000 0.5000 0.0000
Ba 0.5000 0.0000 0.5000
Ba 0.8750 0.2500 0.6250
H 0.4786 0.1184 0.2207
H 0.6023 0.2207 0.7421
H 0.1398 0.8977 0.6184
H 0.3602 0.4786 0.2579
H 0.7207 0.9786 0.1184
H 0.0214 0.2793 0.3816
H 0.3816 0.6023 0.8602
H 0.6184 0.3977 0.1398
H 0.3977 0.6184 0.6398
H 0.8977 0.7579 0.2793
H 0.1398 0.2421 0.0214
H 0.7421 0.7207 0.6023
H 0.8816 0.5214 0.2793
H 0.5214 0.6398 0.2421
H 0.7579 0.8977 0.7793
H 0.2207 0.6023 0.2421
H 0.2579 0.9786 0.3602
H 0.9786 0.7207 0.6184
H 0.6398 0.5214 0.7421
H 0.8602 0.1023 0.3816
H 0.1184 0.6398 0.8977
H 0.6398 0.1184 0.3977
H 0.7793 0.3816 0.5214
H 0.2421 0.1398 0.5214
H 0.2421 0.1023 0.2207
H 0.8816 0.3602 0.1023
H 0.7579 0.8602 0.4786
H 0.9786 0.2579 0.8602
H 0.8977 0.1398 0.1184
H 0.4786 0.3602 0.7579
H 0.3602 0.8816 0.6023
H 0.1023 0.2421 0.7207
H 0.1184 0.4786 0.7207
H 0.7793 0.3977 0.7579
H 0.3977 0.7793 0.2579
H 0.7421 0.0214 0.6398
H 0.6023 0.3816 0.3602
H 0.3816 0.7793 0.0214
H 0.7207 0.7421 0.1023
H 0.1023 0.8602 0.8816
H 0.2793 0.0214 0.8816
H 0.8602 0.7579 0.9786
H 0.0214 0.7421 0.1398
H 0.2579 0.2793 0.3977
H 0.2207 0.6184 0.4786
H 0.5214 0.8816 0.7793
H 0.6184 0.2207 0.9786
H 0.2793 0.2579 0.8977
Pd 0.3750 0.6250 0.2500
Pd 0.1250 0.2500 0.8750
Pd 0.6250 0.2500 0.3750
Pd 0.7500 0.3750 0.1250
Pd 0.8750 0.1250 0.2500
Pd 0.7500 0.8750 0.6250
Pd 0.2500 0.6250 0.8750
Pd 0.2500 0.1250 0.3750
Pd 0.1250 0.8750 0.7500
Pd 0.3750 0.7500 0.6250
Pd 0.6250 0.3750 0.7500
Pd 0.8750 0.7500 0.1250



No. 13
A geometry-optimized ZrGeP2O structure. Source: Alexandria via LeMat-Bulk, functional PBE.

Summary:
polymorph energy (0 for the lowest one): 0 meV per atom
SG: P4/mmm, No. 123
total moment: 0.0 Bohr magnetons per cell
uncorrected formation energy: -0.332 eV per atom

Unit cell a=5.1775 b=5.1775 c=3.9847 alpha=90.00 beta=90.00 gamma=90.00
Fractional coordinates of all 5 atoms:
Zr 0.0000 0.0000 0.0000
Ge 0.5000 0.5000 0.5000
P 0.5000 0.0000 0.0000
P 0.0000 0.5000 0.0000
O 0.0000 0.0000 0.5000



No. 14
A geometry-optimized Cd2GeRu2 structure. Source: Alexandria via LeMat-Bulk, functional PBE.

Summary:
formation energy: 0.00 eV per formula unit
SG: P4/mbm, No. 127
total moment: 0.9 Bohr magnetons per cell

Unit cell a=6.3030 b=6.3030 c=4.4823 alpha=90.00 beta=90.00 gamma=90.00
Fractional coordinates of all 10 atoms:
Ge 0.0000 0.0000 0.0000
Ge 0.5000 0.5000 0.0000
Ru 0.1417 0.3583 0.0000
Ru 0.3583 0.8583 0.0000
Ru 0.6417 0.1417 0.0000
Ru 0.8583 0.6417 0.0000
Cd 0.1657 0.6657 0.5000
Cd 0.3343 0.1657 0.5000
Cd 0.6657 0.8343 0.5000
Cd 0.8343 0.3343 0.5000



No. 15
A geometry-optimized MgNi2Pt6 structure. Source: Alexandria via LeMat-Bulk, functional PBE.

Summary:
formation energy: -1.44 eV per formula unit
SG: P-62m, No. 189
total moment: 3.4 Bohr magnetons per cell

Unit cell a=2.7655 b=7.4608 c=7.4608 alpha=120.00 beta=90.00 gamma=90.00
Fractional coordinates of all 9 atoms:
Pt 0.0000 0.3078 0.0000
Pt 0.5000 0.0001 0.6396
Pt 0.0000 0.0000 0.3078
Pt 0.5000 0.6396 0.0001
Pt 0.0000 0.6921 0.6921
Pt 0.5000 0.3604 0.3604
Mg 0.5000 0.9999 0.9999
Ni 0.0000 0.3333 0.6667
Ni 0.0000 0.6667 0.3333



No. 16
A geometry-optimized HfGaNiPd2 structure. Source: Alexandria via LeMat-Bulk, functional PBE.

Summary:
formation energy: 3.55 eV per formula unit
SG: P4/mmm, No. 123
total moment: 0.0 Bohr magnetons per cell

Unit cell a=4.5208 b=5.0302 c=4.5208 alpha=90.00 beta=90.00 gamma=90.00
Fractional coordinates of all 5 atoms:
Ga 0.0000 0.0000 0.0000
Pd 0.5000 0.0000 0.0000
Pd 0.0000 0.0000 0.5000
Ni 0.5000 0.5000 0.5000
Hf 0.0000 0.5000 0.0000



No. 17
A geometry-optimized CsCaBi2 structure. Source: Alexandria via LeMat-Bulk, functional PBE.

Summary:
polymorph energy (0 for the lowest one): 0 meV per atom
formation energy: -2.20 eV per formula unit
SG: P4/mmm, No. 123
total moment: 0.0 Bohr magnetons per cell

Unit cell a=4.3950 b=4.3950 c=8.3555 alpha=90.00 beta=90.00 gamma=90.00
Fractional coordinates of all 4 atoms:
Bi 0.0000 0.0000 0.8216
Bi 0.0000 0.0000 0.1784
Cs 0.5000 0.5000 0.5000
Ca 0.5000 0.5000 0.0000



No. 18
A geometry-optimized DyTlCdTe3 structure. Source: Alexandria via LeMat-Bulk, functional PBE.

Summary:
SG: P2_1/m, No. 11
total moment: 0.0 Bohr magnetons per cell
uncorrected formation energy: -0.811 eV per atom

Unit cell a=4.4941 b=9.4344 c=10.5239 alpha=106.51 beta=90.00 gamma=90.00
Fractional coordinates of all 12 atoms:
Te 0.2500 0.5436 0.8383
Te 0.7500 0.4564 0.1617
Te 0.2500 0.7627 0.4627
Te 0.7500 0.2373 0.5373
Te 0.7500 0.8971 0.1209
Te 0.2500 0.1029 0.8791
Cd 0.2500 0.0834 0.6062
Cd 0.7500 0.9166 0.3938
Tl 0.2500 0.2092 0.2233
Tl 0.7500 0.7908 0.7767
Dy 0.2500 0.6737 0.1395
Dy 0.7500 0.3263 0.8605



No. 19
A geometry-optimized Ti2Ga3Co structure. Source: Alexandria via LeMat-Bulk, functional PBE.

Summary:
formation energy: -0.25 eV per formula unit
SG: Immm, No. 71
total moment: 1.5 Bohr magnetons per cell

Unit cell a=2.7985 b=5.1953 c=7.2640 alpha=110.95 beta=101.11 gamma=90.00
Fractional coordinates of all 6 atoms:
Ti 0.3214 0.8214 0.6428
Ti 0.6786 0.1786 0.3572
Ga 0.6494 0.6494 0.2988
Ga 0.0000 0.0000 0.0000
Ga 0.3506 0.3506 0.7012
Co 0.0000 0.5000 0.0000



No. 20
A geometry-optimized In2SiNO structure. Source: Alexandria via LeMat-Bulk, functional PBE.

Summary:
SG: P4/mmm, No. 123
total moment: 1.3 Bohr magnetons per cell
uncorrected formation energy: 0.447 eV per atom

Unit cell a=5.3422 b=5.3422 c=3.4156 alpha=90.00 beta=90.00 gamma=90.00
Fractional coordinates of all 5 atoms:
O 0.0000 0.0000 0.5000
N 0.5000 0.5000 0.5000
In 0.5000 0.0000 0.0000
In 0.0000 0.5000 0.0000
Si 0.0000 0.0000 0.0000